Record 1
A plane-wave DFT calculation with PBE-GGA was carried out for a geometry-optimized Zn2SbN structure.

## Properties
Total energy   -2.974 eV/atom
Theoretical density   5.0 g/cm3
Energy relative to the elements, uncorrected   775 meV/atom

Cell lengths 3.798, 3.798, 7.439 Å; angles 75.21, 75.21, 60.00 degrees
Last column: magnetic moment on the atom in μB.
Fractional positions:
Zn 0.086 0.086 0.743  0.01
Zn 0.914 0.914 0.257  0.01
Sb 0.500 0.500 0.500  -0.03
N 0.000 0.000 0.000  0.71

***

Record 2
A plane-wave DFT calculation with PBE-GGA was carried out for a geometry-optimized PuHgH structure.

## Properties
Total energy   -6.049 eV/atom
Theoretical density   12.7 g/cm3

Cell lengths 3.227, 3.227, 6.036 Å; angles 105.51, 105.51, 90.00 degrees
Last column: magnetic moment on the atom in μB.
Fractional positions:
Pu 0.725 0.725 0.450  5.75
H 0.267 0.267 0.534  -0.03
Hg 0.008 0.008 0.015  0.06